The following is a PBE calculation of a geometry-optimized ZrCoHgPb structure, from the Open Quantum Materials Database.

Cell lengths 4.828, 4.828, 4.828 Å; angles 60.00, 60.00, 60.00 degrees
Last column: magnetic moment on the atom in μB.
Fractional coordinates of all 4 atoms:
1 Co 0.750 0.750 0.750  1.18
2 Hg 0.500 0.500 0.500  -0.01
3 Pb 0.000 0.000 0.000  0.00
4 Zr 0.250 0.250 0.250  -0.04

Its energy above the most stable polymorph in this dataset is 0.0 meV per atom.

=====

The following is a PBE calculation of a geometry-optimized Cu5Ag4 structure, from the Open Quantum Materials Database.

Cell lengths 4.811, 4.811, 8.314 Å; angles 108.11, 108.11, 46.55 degrees
Fractional coordinates of all 9 atoms:
1 Ag 0.325 0.325 0.261
2 Ag 0.656 0.656 0.381
3 Ag 0.344 0.344 0.619
4 Ag 0.675 0.675 0.739
5 Cu 0.655 0.655 0.049
6 Cu 0.988 0.988 0.147
7 Cu 0.000 0.000 0.500
8 Cu 0.012 0.012 0.853
9 Cu 0.345 0.345 0.951

Its energy above the most stable polymorph in this dataset is 50.7 meV per atom.

=====

The following is a PBE calculation of a geometry-optimized Er6SiPd2 structure, from the Open Quantum Materials Database.

Cell lengths 7.758, 7.758, 4.207 Å; angles 90.00, 90.00, 120.00 degrees
Fractional coordinates of all 9 atoms:
1 Er 0.600 0.000 0.000
2 Er 0.400 0.400 0.000
3 Er 0.000 0.600 0.000
4 Er 0.260 0.000 0.500
5 Er 0.000 0.260 0.500
6 Er 0.740 0.740 0.500
7 Pd 0.667 0.333 0.500
8 Pd 0.333 0.667 0.500
9 Si 0.000 0.000 0.000

The value obtained for the total energy is -5.355 eV per atom.

=====

The following is a PBE calculation of a geometry-optimized Ta11Al2 structure, from the Open Quantum Materials Database.

Cell lengths 10.198, 10.198, 10.198 Å; angles 30.68, 30.68, 30.68 degrees
Fractional coordinates of all 13 atoms:
1 Al 0.354 0.354 0.354
2 Al 0.646 0.646 0.646
3 Ta 0.000 0.000 0.000
4 Ta 0.587 0.090 0.090
5 Ta 0.090 0.587 0.090
6 Ta 0.169 0.169 0.169
7 Ta 0.910 0.910 0.413
8 Ta 0.456 0.456 0.456
9 Ta 0.544 0.544 0.544
10 Ta 0.090 0.090 0.587
11 Ta 0.831 0.831 0.831
12 Ta 0.910 0.413 0.910
13 Ta 0.413 0.910 0.910

Its energy above the most stable polymorph in this dataset is 165.0 meV per atom.

=====

The following is a PBE calculation of a geometry-optimized GdSn2O4 structure, from the Open Quantum Materials Database.

Cell lengths 6.911, 6.911, 6.911 Å; angles 119.99, 90.01, 119.99 degrees
Last column: magnetic moment on the atom in μB.
Fractional coordinates of all 14 atoms:
1 Gd 0.000 0.000 0.000  0.02
2 Gd 0.750 0.500 0.250  0.02
3 O 0.620 0.241 0.380  0.12
4 O 0.139 0.759 0.380  0.11
5 O 0.620 0.759 0.380  0.11
6 O 0.130 0.259 0.389  0.12
7 O 0.620 0.241 0.861  0.12
8 O 0.130 0.741 0.870  0.11
9 O 0.130 0.259 0.870  0.12
10 O 0.611 0.741 0.870  0.11
11 Sn 0.375 0.750 0.125  0.15
12 Sn 0.375 0.250 0.625  0.13
13 Sn 0.375 0.750 0.625  0.15
14 Sn 0.875 0.250 0.625  0.14

The value obtained for the total energy is -6.377 eV per atom.

=====

The following is a PBE calculation of a geometry-optimized HfU structure, from the Open Quantum Materials Database.

Cell lengths 4.316, 4.316, 4.316 Å; angles 60.00, 60.00, 60.00 degrees
Last column: magnetic moment on the atom in μB.
Fractional coordinates of all 2 atoms:
1 Hf 0.000 0.000 0.000  0.07
2 U 0.250 0.250 0.250  0.36

The value obtained for the total energy is -8.173 eV per atom.

=====

The following is a PBE calculation of a geometry-optimized Na2HfO4 structure, from the Open Quantum Materials Database.

Cell lengths 6.558, 6.558, 6.558 Å; angles 120.00, 89.99, 120.00 degrees
Last column: magnetic moment on the atom in μB.
Fractional coordinates of all 14 atoms:
1 Hf 0.000 0.000 0.000  -0.06
2 Hf 0.750 0.500 0.250  -0.06
3 Na 0.375 0.750 0.125  0.00
4 Na 0.875 0.250 0.625  0.00
5 Na 0.375 0.250 0.625  0.00
6 Na 0.375 0.750 0.625  0.00
7 O 0.121 0.243 0.364  0.39
8 O 0.629 0.257 0.371  0.38
9 O 0.114 0.743 0.371  0.46
10 O 0.629 0.743 0.371  0.47
11 O 0.121 0.757 0.879  0.47
12 O 0.121 0.243 0.879  0.38
13 O 0.636 0.757 0.879  0.46
14 O 0.629 0.257 0.886  0.39

The value obtained for the total energy is -6.418 eV per atom.

=====

The following is a PBE calculation of a geometry-optimized PrAl structure, from the Open Quantum Materials Database.

Cell lengths 4.438, 4.438, 4.438 Å; angles 60.00, 60.00, 60.00 degrees
Last column: magnetic moment on the atom in μB.
Fractional coordinates of all 2 atoms:
1 Al 0.000 0.000 0.000  0.03
2 Pr 0.500 0.500 0.500  0.08

The value obtained for the total energy is -4.180 eV per atom.